## Cr2PtAu (PBE)

Data for a relaxed Cr2PtAu crystal.

Output
V   64 Å³/cell
Energy relative to the elements   0.1099 eV per atom
SG   P4/mmm

a b c (Å): 3.253 4.428 4.428
angles (deg): 90.00 90.00 90.00
Last column: magnetic moment on the atom in μB.
Fractional coordinates of all 4 atoms:
Au  0.500  0.000  0.500  0.14
Pt  0.500  0.500  0.000  0.20
Cr  0.000  0.500  0.500  3.30
Cr  0.000  0.000  0.000  3.30